(1)
Here is a relaxed Li2YSc crystal from the Alexandria database. Energies are from PBE.

```
Li2YSc
1.0
7.2711 0.0000 0.0000
0.0000 7.2711 0.0000
0.0000 0.0000 7.2711
Li Y Sc
8 4 4
direct
0.0000 0.0000 0.0000
0.0000 0.5000 0.5000
0.2500 0.2500 0.2500
0.2500 0.7500 0.7500
0.5000 0.0000 0.5000
0.5000 0.5000 0.0000
0.7500 0.2500 0.7500
0.7500 0.7500 0.2500
0.2500 0.2500 0.7500
0.2500 0.7500 0.2500
0.7500 0.2500 0.2500
0.7500 0.7500 0.7500
0.0000 0.0000 0.5000
0.0000 0.5000 0.0000
0.5000 0.0000 0.0000
0.5000 0.5000 0.5000
```

Values from the calculation:
Space-group type: F-43m
Formation enthalpy at 0 K in meV per atom: 305
Excess energy over the best structure of this formula in the dataset in eV/atom: 0.219

***

(2)
Here is a relaxed SrSb2 crystal from the Alexandria database. Energies are from PBE.

```
SrSb2
1.0
4.3476 0.0000 0.0000
0.0000 18.2721 0.0000
0.0000 0.0000 4.8924
Sr Sb
4 8
direct
0.0000 0.1440 0.0000
0.0000 0.8560 0.0000
0.5000 0.3560 0.0000
0.5000 0.6440 0.0000
0.0000 0.0000 0.4926
0.0000 0.3052 0.5005
0.0000 0.5000 0.0777
0.0000 0.6948 0.5005
0.5000 0.0000 0.0777
0.5000 0.1948 0.5005
0.5000 0.5000 0.4926
0.5000 0.8052 0.5005
```

Values from the calculation:
Space-group type: Cmm2
Formation energy without anion corrections in eV per atom: -0.66